[1]
Compound: KSi3N
Source: Alexandria
Functional: PBE
Structure: optimized geometry

Results
**Volume**: 88 Å³ per cell
**E_form (uncorrected)**: 0.994 eV per atom
**E_tot**: -4.144 eV/atom
**Total magnetic moment**: 0.00 μB/f.u.
**Energy above the most stable polymorph in this dataset**: 0 meV/atom

a b c (Å): 4.4455 4.4455 4.4455
angles (deg): 90.00 90.00 90.00
Space group Pm-3m (No. 221)
Symmetry-distinct sites (fractional):
K  0.0000  0.0000  0.0000 (multiplicity 1)
Si  0.0000  0.5000  0.5000 (multiplicity 3)
N  0.5000  0.5000  0.5000 (multiplicity 1)



[2]
Compound: KSi3N
Source: Alexandria
Functional: PBE
Structure: optimized geometry

Results
**Volume**: 159 Å³ per cell
**E_form (uncorrected)**: 3.295 eV per atom
**E_tot**: -1.843 eV/atom
**Total magnetic moment**: 0.00 μB/f.u.
**Energy above the most stable polymorph in this dataset**: 2301 meV/atom

a b c (Å): 5.4205 5.4205 5.4205
angles (deg): 90.00 90.00 90.00
Space group Pm-3m (No. 221)
Symmetry-distinct sites (fractional):
K  0.0000  0.0000  0.0000 (multiplicity 1)
Si  0.0000  0.0000  0.5000 (multiplicity 3)
N  0.5000  0.5000  0.5000 (multiplicity 1)